(A)
This record from the Alexandria database describes a relaxed structure of HfCd3C. The functional is PBE.

Cell: 5.713 5.713 5.713 Å, 90.00 90.00 90.00°
Space group Pm-3m (No. 221)
Inequivalent atoms, fractional coordinates:
Hf: 0.000 0.000 0.000 x1
Cd: 0.000 0.000 0.500 x3
C: 0.500 0.500 0.500 x1

Properties
N(E_F) ... 0.8276 states/eV per atom

(B)
This record from the Alexandria database describes a relaxed structure of HfCd3C. The functional is PBE.

Cell: 4.632 4.632 4.632 Å, 90.00 90.00 90.00°
Space group Pm-3m (No. 221)
Inequivalent atoms, fractional coordinates:
Hf: 0.000 0.000 0.000 x1
Cd: 0.000 0.500 0.500 x3
C: 0.500 0.500 0.500 x1

Properties
N(E_F) ... 0.7381 states/eV per atom

Calculated relative energies: (A) 1.151; (B) 0.000, given in eV/atom

(A)
This record from the Alexandria database describes a relaxed structure of CdHg2C. The functional is PBE.

Cell: 6.761 6.761 6.761 Å, 90.00 90.00 90.00°
Space group Fm-3m (No. 225)
Inequivalent atoms, fractional coordinates:
Cd: 0.000 0.000 0.000 x4
Hg: 0.250 0.250 0.250 x8
C: 0.000 0.000 0.500 x4

Properties
N(E_F) ... 0.4681 states/eV per atom

(B)
This record from the Alexandria database describes a relaxed structure of CdHg2C. The functional is PBE.

Cell: 9.854 9.854 9.854 Å, 90.00 90.00 90.00°
Space group Fd-3m (No. 227, origin choice 2)
Inequivalent atoms, fractional coordinates:
Cd: 0.125 0.125 0.125 x8
Hg: 0.000 0.000 0.500 x16
C: 0.125 0.125 0.625 x8

Properties
N(E_F) ... 0.0000 states/eV per atom

Calculated relative energies: (A) 0.639; (B) 0.000, given in eV/atom

(A)
This record from the Alexandria database describes a relaxed structure of Cd3HgC. The functional is PBE.

Cell: 5.449 5.449 5.449 Å, 90.00 90.00 90.00°
Space group Pm-3m (No. 221)
Inequivalent atoms, fractional coordinates:
Cd: 0.000 0.000 0.500 x3
Hg: 0.000 0.000 0.000 x1
C: 0.500 0.500 0.500 x1

Properties
N(E_F) ... 0.4126 states/eV per atom

(B)
This record from the Alexandria database describes a relaxed structure of Cd3HgC. The functional is PBE.

Cell: 4.719 4.719 4.719 Å, 90.00 90.00 90.00°
Space group Pm-3m (No. 221)
Inequivalent atoms, fractional coordinates:
Cd: 0.000 0.000 0.500 x3
Hg: 0.500 0.500 0.500 x1
C: 0.000 0.000 0.000 x1

Properties
N(E_F) ... 0.2878 states/eV per atom

Calculated relative energies: (A) 0.879; (B) 0.000, given in eV/atom